! GGA-PBE Y2FePb, optimized geometry; values from VASP
&SYSTEM
  ibrav = 0, nat = 4, ntyp = 3
/
ATOMIC_SPECIES
Y 88.91 Y.upf
Fe 55.84 Fe.upf
Pb 207.20 Pb.upf
CELL_PARAMETERS angstrom
3.537 0.000 0.000
0.000 3.537 0.000
0.000 0.000 8.120
ATOMIC_POSITIONS angstrom
Y 0.000 0.000 0.000
Y 1.768 1.768 2.658
Fe 0.000 0.000 4.381
Pb 1.768 1.768 5.871
! calculated formation energy	90	meV/atom
! ρ	7.21	g cm⁻³
! uncorrected energy	-0.4546	Ry/atom

---

! GGA-PBE SbAsC, optimized geometry; values from VASP
&SYSTEM
  ibrav = 0, nat = 6, ntyp = 3
/
ATOMIC_SPECIES
Sb 121.76 Sb.upf
As 74.92 As.upf
C 12.01 C.upf
CELL_PARAMETERS angstrom
6.130 -1.568 0.000
6.130 1.568 0.000
-2.326 0.000 6.719
ATOMIC_POSITIONS angstrom
Sb 0.000 0.000 0.000
Sb 7.919 0.000 3.349
As 0.901 0.000 6.358
As 5.250 0.000 3.885
C -0.743 0.000 5.151
C 8.024 0.000 5.561
! E above lowest polymorph	72	meV per atom
! ρ	5.37	g cm⁻³
! formation energy (no corrections)	0.594	eV/atom
! uncorrected energy	-0.3973	Ry/atom

---

! GGA-PBE LiMn2NbBi, optimized geometry; values from VASP
&SYSTEM
  ibrav = 0, nat = 5, ntyp = 4
/
ATOMIC_SPECIES
Li 6.94 Li.upf
Mn 54.94 Mn.upf
Nb 92.91 Nb.upf
Bi 208.98 Bi.upf
CELL_PARAMETERS angstrom
5.044 0.000 0.000
0.000 5.044 0.000
0.000 0.000 4.724
ATOMIC_POSITIONS angstrom
Li 0.000 0.000 0.000
Mn 0.000 2.522 2.362
Mn 2.522 0.000 2.362
Nb 2.522 2.522 0.000
Bi 0.000 0.000 2.362
! calculated formation energy	1256	meV/atom
! ρ	5.79	g cm⁻³
! uncorrected energy	-0.4105	Ry/atom

---

! GGA-PBE Nd3YHo4, optimized geometry; values from VASP
&SYSTEM
  ibrav = 0, nat = 16, ntyp = 3
/
ATOMIC_SPECIES
Nd 144.24 Nd.upf
Y 88.91 Y.upf
Ho 164.93 Ho.upf
CELL_PARAMETERS angstrom
10.153 0.000 0.000
0.000 7.180 0.000
0.000 0.000 7.174
ATOMIC_POSITIONS angstrom
Nd 0.000 0.000 0.000
Nd 2.538 1.801 1.794
Nd 2.538 5.378 5.381
Nd 5.076 0.000 3.587
Nd 7.614 1.801 1.794
Nd 7.614 5.378 5.381
Y 0.000 3.590 3.587
Y 5.076 3.590 0.000
Ho 0.000 0.000 3.587
Ho 0.000 3.590 0.000
Ho 2.538 1.796 5.381
Ho 2.538 5.384 1.794
Ho 5.076 0.000 0.000
Ho 5.076 3.590 3.587
Ho 7.614 1.796 5.381
Ho 7.614 5.384 1.794
! calculated formation energy	19	meV/atom
! E above lowest polymorph	0	meV per atom
! ρ	7.50	g cm⁻³
! uncorrected energy	-0.3577	Ry/atom

---

! GGA-PBE Sc2AlAg, optimized geometry; values from VASP
&SYSTEM
  ibrav = 0, nat = 4, ntyp = 3
/
ATOMIC_SPECIES
Sc 44.96 Sc.upf
Al 26.98 Al.upf
Ag 107.87 Ag.upf
CELL_PARAMETERS angstrom
1.576 0.910 9.633
-1.576 0.910 9.633
0.000 -1.820 9.633
ATOMIC_POSITIONS angstrom
Sc 0.000 0.000 0.000
Sc 0.000 0.000 6.984
Al 0.000 0.000 21.671
Ag 0.000 0.000 14.170
! calculated formation energy	-45	meV/atom
! ρ	4.50	g cm⁻³
! uncorrected energy	-0.3572	Ry/atom

---

! GGA-PBE AcGe2Ru, optimized geometry; values from VASP
&SYSTEM
  ibrav = 0, nat = 4, ntyp = 3
/
ATOMIC_SPECIES
Ac 227.00 Ac.upf
Ge 72.64 Ge.upf
Ru 101.07 Ru.upf
CELL_PARAMETERS angstrom
3.363 0.000 0.000
0.000 3.363 0.000
0.000 0.000 7.241
ATOMIC_POSITIONS angstrom
Ac 0.000 0.000 0.000
Ge 1.682 1.682 2.277
Ge 1.682 1.682 4.963
Ru 0.000 0.000 3.620
! calculated formation energy	-177	meV/atom
! E above lowest polymorph	364	meV per atom
! ρ	9.60	g cm⁻³
! uncorrected energy	-0.4287	Ry/atom

---

! GGA-PBE Ca2TbNpP4, optimized geometry; values from VASP
&SYSTEM
  ibrav = 0, nat = 8, ntyp = 4
/
ATOMIC_SPECIES
Ca 40.08 Ca.upf
Tb 158.93 Tb.upf
Np 237.00 Np.upf
P 30.97 P.upf
CELL_PARAMETERS angstrom
6.992 0.000 0.000
0.000 4.070 0.000
-2.316 0.000 6.641
ATOMIC_POSITIONS angstrom
Ca 0.000 0.000 0.000
Ca 3.496 2.035 0.000
Tb -1.158 2.035 3.320
Np 2.338 0.000 3.320
P 0.107 0.000 4.844
P 1.234 2.035 1.823
P 3.443 2.035 4.818
P 4.570 0.000 1.797
! calculated formation energy	-1142	meV/atom
! ρ	5.27	g cm⁻³
! uncorrected energy	-0.4809	Ry/atom

---

! GGA-PBE Cs3InBr4, optimized geometry; values from VASP
&SYSTEM
  ibrav = 0, nat = 16, ntyp = 3
/
ATOMIC_SPECIES
Cs 132.91 Cs.upf
In 114.82 In.upf
Br 79.90 Br.upf
CELL_PARAMETERS angstrom
12.394 0.000 0.000
0.000 10.276 0.000
0.000 0.000 7.282
ATOMIC_POSITIONS angstrom
Cs 0.000 1.609 0.000
Cs 3.055 3.365 3.635
Cs 3.142 6.911 7.276
Cs 6.197 8.666 3.641
Cs 9.251 6.911 7.276
Cs 9.339 3.365 3.635
In 0.000 8.449 3.589
In 6.197 1.827 7.230
Br 0.000 1.426 3.638
Br 0.000 8.405 0.602
Br 2.999 6.973 3.634
Br 3.198 3.303 7.275
Br 6.197 1.870 4.243
Br 6.197 8.850 7.279
Br 9.196 3.303 7.275
Br 9.395 6.973 3.634
! E above lowest polymorph	16	meV per atom
! ρ	2.98	g cm⁻³
! formation energy (no corrections)	-1.466	eV/atom
! uncorrected energy	-0.2179	Ry/atom

---

! GGA-PBE Ac2Zn4GaHg3, optimized geometry; values from VASP
&SYSTEM
  ibrav = 0, nat = 10, ntyp = 4
/
ATOMIC_SPECIES
Ac 227.00 Ac.upf
Zn 65.41 Zn.upf
Ga 69.72 Ga.upf
Hg 200.59 Hg.upf
CELL_PARAMETERS angstrom
4.686 0.000 0.000
0.000 4.686 0.000
0.000 0.000 10.681
ATOMIC_POSITIONS angstrom
Ac 0.000 2.343 2.649
Ac 2.343 0.000 8.032
Zn 0.000 0.000 5.340
Zn 0.000 2.343 9.341
Zn 2.343 0.000 1.339
Zn 2.343 2.343 5.340
Ga 2.343 2.343 0.000
Hg 0.000 0.000 0.000
Hg 0.000 2.343 6.722
Hg 2.343 0.000 3.958
! calculated formation energy	-329	meV/atom
! ρ	9.82	g cm⁻³
! uncorrected energy	-0.1509	Ry/atom

---

! GGA-PBE GaAu2SeBr, optimized geometry; values from VASP
&SYSTEM
  ibrav = 0, nat = 5, ntyp = 4
/
ATOMIC_SPECIES
Ga 69.72 Ga.upf
Au 196.97 Au.upf
Se 78.96 Se.upf
Br 79.90 Br.upf
CELL_PARAMETERS angstrom
5.092 0.000 0.000
0.000 5.092 0.000
0.000 0.000 4.874
ATOMIC_POSITIONS angstrom
Ga 0.000 0.000 0.000
Au 0.000 2.546 0.000
Au 2.546 0.000 0.000
Se 0.000 0.000 2.437
Br 2.546 2.546 2.437
! ρ	8.18	g cm⁻³
! formation energy (no corrections)	0.431	eV/atom
! uncorrected energy	-0.1850	Ry/atom

---

! GGA-PBE PmHgF3, optimized geometry; values from VASP
&SYSTEM
  ibrav = 0, nat = 5, ntyp = 3
/
ATOMIC_SPECIES
Pm 145.00 Pm.upf
Hg 200.59 Hg.upf
F 19.00 F.upf
CELL_PARAMETERS angstrom
4.629 0.000 0.000
0.000 4.629 0.000
0.000 0.000 4.629
ATOMIC_POSITIONS angstrom
Pm 0.000 0.000 0.000
Hg 2.315 2.315 2.315
F 0.000 0.000 2.315
F 0.000 2.315 0.000
F 2.315 0.000 0.000
! E above lowest polymorph	0	meV per atom
! ρ	6.74	g cm⁻³
! formation energy (no corrections)	-3.132	eV/atom
! uncorrected energy	-0.3870	Ry/atom

---

! GGA-PBE Pr2Os3Ru, optimized geometry; values from VASP
&SYSTEM
  ibrav = 0, nat = 6, ntyp = 3
/
ATOMIC_SPECIES
Pr 140.91 Pr.upf
Os 190.23 Os.upf
Ru 101.07 Ru.upf
CELL_PARAMETERS angstrom
4.643 -2.678 0.000
4.643 2.678 0.000
-3.115 0.000 4.630
ATOMIC_POSITIONS angstrom
Pr -0.007 0.000 1.726
Pr 6.178 0.000 2.905
Os 2.322 1.339 0.000
Os 2.322 -1.339 0.000
Os 4.643 0.000 0.000
Ru 3.086 0.000 2.315
! calculated formation energy	-55	meV/atom
! ρ	13.75	g cm⁻³
! uncorrected energy	-0.6475	Ry/atom